Material: Rb3SmP2S8
Method: DFT, PBEsol
State: optimized geometry

Computed properties:
DOS(E_F) = 0.00 states/eV/f.u.
crystal system = monoclinic
ΔE_f (raw) = -105.3 kJ per mole of atoms
calculated volume = 26.5 Å³ per atom

Unit cell a=6.723 b=9.649 c=11.420 alpha=90.18 beta=90.00 gamma=90.00
Sites, in units of the cell vectors:
P 0.690 0.627 0.689
Rb 0.192 0.395 0.651
S 0.431 0.903 0.268
S 0.695 0.733 0.062
S 0.449 0.654 0.798
S 0.695 0.803 0.589
S 0.921 0.939 0.256
Rb 0.192 0.831 0.579
S 0.195 0.197 0.411
P 0.171 0.090 0.842
S 0.684 0.443 0.607
S 0.195 0.267 0.938
P 0.671 0.910 0.158
S 0.108 0.933 0.959
Rb 0.692 0.605 0.349
S 0.440 0.355 0.207
Rb 0.692 0.169 0.421
Sm 0.713 0.886 0.850
S 0.184 0.557 0.393
S 0.421 0.061 0.744
P 0.190 0.373 0.311
S 0.940 0.645 0.793
S 0.949 0.346 0.202
S 0.608 0.067 0.041
S 0.931 0.097 0.732
Sm 0.213 0.114 0.150
Rb 0.197 0.642 0.094
Rb 0.697 0.358 0.906

=====

Material: RbSnPS2
Method: DFT, PBEsol
State: optimized geometry

Computed properties:
DOS(E_F) = 5.41 states/eV/f.u.
crystal system = tetragonal
ΔE_f (raw) = 126.7 kJ per mole of atoms
calculated volume = 29.0 Å³ per atom

Unit cell a=5.167 b=5.294 c=5.294 alpha=90.00 beta=90.00 gamma=90.00
Sites, in units of the cell vectors:
Sn 0.500 0.500 0.500
S 0.000 0.000 0.500
Rb 0.000 0.000 0.000
P 0.500 0.000 0.000
S 0.000 0.500 0.000

=====

Material: RbSnPS2
Method: DFT, PBEsol
State: optimized geometry

Computed properties:
DOS(E_F) = 3.58 states/eV/f.u.
crystal system = tetragonal
ΔE_f (raw) = 1.7 kJ per mole of atoms
calculated volume = 26.7 Å³ per atom

Unit cell a=5.050 b=5.144 c=5.144 alpha=90.00 beta=90.00 gamma=90.00
Site moments in Bohr magnetons follow the coordinates.
Sites, in units of the cell vectors:
P 0.500 0.000 0.000  0.44
Rb 0.500 0.500 0.500  0.01
S 0.000 0.500 0.000  0.08
S 0.000 0.000 0.500  0.08
Sn 0.000 0.000 0.000  -0.01

=====

Material: RbTePS2
Method: DFT, PBEsol
State: optimized geometry

Computed properties:
DOS(E_F) = 3.23 states/eV/f.u.
crystal system = tetragonal
ΔE_f (raw) = 13.8 kJ per mole of atoms
calculated volume = 27.7 Å³ per atom

Unit cell a=5.180 b=5.173 c=5.173 alpha=90.00 beta=90.00 gamma=90.00
Site moments in Bohr magnetons follow the coordinates.
Sites, in units of the cell vectors:
Te 0.000 0.000 0.000  -0.02
Rb 0.500 0.500 0.500  0.01
P 0.500 0.000 0.000  0.44
S 0.000 0.000 0.500  0.10
S 0.000 0.500 0.000  0.10